Material: NaBSbH6
Method: DFT, PBE
State: relaxed

Structure (extended XYZ):
```
9
Lattice="3.6570 0.0000 0.0000 1.7468 4.2719 0.0000 1.3771 0.1628 7.6049" Properties=species:S:1:pos:R:3 pbc="T T T"
Na 0.0000 0.0000 0.0000
B 3.2421 1.9731 6.9167
Sb 3.5795 3.6393 3.5802
H 2.6375 2.7020 6.1424
H 1.3395 1.8512 0.4281
H 3.5894 3.9025 1.8383
H 3.2010 0.8388 6.4415
H 4.3892 2.3421 7.0213
H 3.5727 1.9227 3.2701
```

Computed properties:
SG = P1, No. 1
D(E_F) = 0.180 states/eV/atom
Total moment = 0.000 μB/cell
E = -32.84 eV for the cell shown